(1)
# Cd3TcGe

Cd3TcGe after structural relaxation (PBE, Alexandria via LeMat-Bulk).

Geometry as CIF:
```
data_Cd3TcGe
_chemical_formula_sum 'Cd3 Tc1 Ge1'
_cell_length_a 5.1994
_cell_length_b 5.1994
_cell_length_c 5.1994
_cell_angle_alpha 90.00
_cell_angle_beta 90.00
_cell_angle_gamma 90.00
_space_group_name_H-M_alt 'P m -3 m'
_space_group_IT_number 221
_space_group_name_Hall '-P 4 2 3'
loop_
_atom_site_label
_atom_site_type_symbol
_atom_site_fract_x
_atom_site_fract_y
_atom_site_fract_z
_atom_site_occupancy
Cd1 Cd 0.0000 0.0000 0.5000 1
Tc1 Tc 0.0000 0.0000 0.0000 1
Ge1 Ge 0.5000 0.5000 0.5000 1
```

Formation energy in eV/atom: 1.010


(2)
# CdTc2Ge

CdTc2Ge after structural relaxation (PBE, Alexandria via LeMat-Bulk).

Geometry as CIF:
```
data_CdTc2Ge
_chemical_formula_sum 'Cd4 Tc8 Ge4'
_cell_length_a 6.3055
_cell_length_b 6.3055
_cell_length_c 6.3055
_cell_angle_alpha 90.00
_cell_angle_beta 90.00
_cell_angle_gamma 90.00
_space_group_name_H-M_alt 'F m -3 m'
_space_group_IT_number 225
_space_group_name_Hall '-F 4 2 3'
loop_
_atom_site_label
_atom_site_type_symbol
_atom_site_fract_x
_atom_site_fract_y
_atom_site_fract_z
_atom_site_occupancy
Cd1 Cd 0.0000 0.0000 0.0000 1
Tc1 Tc 0.2500 0.2500 0.2500 1
Ge1 Ge 0.0000 0.0000 0.5000 1
```

Formation energy in eV/atom: 0.409


(3)
# CdTcGe2

CdTcGe2 after structural relaxation (PBE, Alexandria via LeMat-Bulk).

Geometry as CIF:
```
data_CdTcGe2
_chemical_formula_sum 'Cd4 Tc4 Ge8'
_cell_length_a 4.3043
_cell_length_b 4.3043
_cell_length_c 17.1009
_cell_angle_alpha 90.00
_cell_angle_beta 90.00
_cell_angle_gamma 90.00
_space_group_name_H-M_alt 'I -4 2 d'
_space_group_IT_number 122
_space_group_name_Hall 'I -4 2bw'
loop_
_atom_site_label
_atom_site_type_symbol
_atom_site_fract_x
_atom_site_fract_y
_atom_site_fract_z
_atom_site_occupancy
Cd1 Cd 0.0000 0.0000 0.0000 1
Tc1 Tc 0.0000 0.0000 0.5000 1
Ge1 Ge 0.1780 0.2500 0.6250 1
```

Formation energy in eV/atom: 0.447


(4)
# Cd2TcGe2

Cd2TcGe2 after structural relaxation (PBE, Alexandria via LeMat-Bulk).

Geometry as CIF:
```
data_Cd2TcGe2
_chemical_formula_sum 'Cd4 Tc2 Ge4'
_cell_length_a 7.5348
_cell_length_b 7.5348
_cell_length_c 3.5044
_cell_angle_alpha 90.00
_cell_angle_beta 90.00
_cell_angle_gamma 90.00
_space_group_name_H-M_alt 'P 4/m b m'
_space_group_IT_number 127
_space_group_name_Hall '-P 4 2ab'
loop_
_atom_site_label
_atom_site_type_symbol
_atom_site_fract_x
_atom_site_fract_y
_atom_site_fract_z
_atom_site_occupancy
Cd1 Cd 0.1335 0.3665 0.0000 1
Tc1 Tc 0.0000 0.0000 0.0000 1
Ge1 Ge 0.1726 0.6726 0.5000 1
```

Formation energy in eV/atom: 0.697


(5)
# CdTcGe3

CdTcGe3 after structural relaxation (PBE, Alexandria via LeMat-Bulk).

Geometry as CIF:
```
data_CdTcGe3
_chemical_formula_sum 'Cd1 Tc1 Ge3'
_cell_length_a 4.8650
_cell_length_b 4.8650
_cell_length_c 4.8650
_cell_angle_alpha 90.00
_cell_angle_beta 90.00
_cell_angle_gamma 90.00
_space_group_name_H-M_alt 'P m -3 m'
_space_group_IT_number 221
_space_group_name_Hall '-P 4 2 3'
loop_
_atom_site_label
_atom_site_type_symbol
_atom_site_fract_x
_atom_site_fract_y
_atom_site_fract_z
_atom_site_occupancy
Cd1 Cd 0.0000 0.0000 0.0000 1
Tc1 Tc 0.5000 0.5000 0.5000 1
Ge1 Ge 0.0000 0.5000 0.5000 1
```

Formation energy in eV/atom: 0.241


(6)
# CdTc2Ge

CdTc2Ge after structural relaxation (PBE, Alexandria via LeMat-Bulk).

Geometry as CIF:
```
data_CdTc2Ge
_chemical_formula_sum 'Cd4 Tc8 Ge4'
_cell_length_a 3.9703
_cell_length_b 3.9703
_cell_length_c 18.8821
_cell_angle_alpha 90.00
_cell_angle_beta 90.00
_cell_angle_gamma 90.00
_space_group_name_H-M_alt 'I -4 2 d'
_space_group_IT_number 122
_space_group_name_Hall 'I -4 2bw'
loop_
_atom_site_label
_atom_site_type_symbol
_atom_site_fract_x
_atom_site_fract_y
_atom_site_fract_z
_atom_site_occupancy
Cd1 Cd 0.0000 0.0000 0.0000 1
Tc1 Tc 0.1633 0.2500 0.6250 1
Ge1 Ge 0.0000 0.0000 0.5000 1
```

Formation energy in eV/atom: 0.562


(7)
# CdTc2Ge2

CdTc2Ge2 after structural relaxation (PBE, Alexandria via LeMat-Bulk).

Geometry as CIF:
```
data_CdTc2Ge2
_chemical_formula_sum 'Cd2 Tc4 Ge4'
_cell_length_a 4.2072
_cell_length_b 4.2072
_cell_length_c 10.1647
_cell_angle_alpha 90.00
_cell_angle_beta 90.00
_cell_angle_gamma 90.00
_space_group_name_H-M_alt 'I 4/m m m'
_space_group_IT_number 139
_space_group_name_Hall '-I 4 2'
loop_
_atom_site_label
_atom_site_type_symbol
_atom_site_fract_x
_atom_site_fract_y
_atom_site_fract_z
_atom_site_occupancy
Cd1 Cd 0.0000 0.0000 0.0000 1
Tc1 Tc 0.0000 0.5000 0.2500 1
Ge1 Ge 0.0000 0.0000 0.3811 1
```

Formation energy in eV/atom: 0.167


(8)
# CdTcGe2

CdTcGe2 after structural relaxation (PBE, Alexandria via LeMat-Bulk).

Geometry as CIF:
```
data_CdTcGe2
_chemical_formula_sum 'Cd3 Tc3 Ge6'
_cell_length_a 3.1280
_cell_length_b 3.1280
_cell_length_c 25.9810
_cell_angle_alpha 90.00
_cell_angle_beta 90.00
_cell_angle_gamma 120.00
_space_group_name_H-M_alt 'R 3 m'
_space_group_IT_number 160
_space_group_name_Hall 'R 3 -2"'
loop_
_atom_site_label
_atom_site_type_symbol
_atom_site_fract_x
_atom_site_fract_y
_atom_site_fract_z
_atom_site_occupancy
Cd1 Cd 0.0000 0.0000 0.0000 1
Tc1 Tc 0.0000 0.0000 0.8346 1
Ge1 Ge 0.0000 0.0000 0.2371 1
Ge2 Ge 0.0000 0.0000 0.4308 1
```

Formation energy in eV/atom: 0.099


- What is the formation energy in the seventh record?
  0.167 eV/atom


- Which of these has the highest formation energy?
  Cd3TcGe


Repeat the first record exactly.
# Cd3TcGe

Cd3TcGe after structural relaxation (PBE, Alexandria via LeMat-Bulk).

Geometry as CIF:
```
data_Cd3TcGe
_chemical_formula_sum 'Cd3 Tc1 Ge1'
_cell_length_a 5.1994
_cell_length_b 5.1994
_cell_length_c 5.1994
_cell_angle_alpha 90.00
_cell_angle_beta 90.00
_cell_angle_gamma 90.00
_space_group_name_H-M_alt 'P m -3 m'
_space_group_IT_number 221
_space_group_name_Hall '-P 4 2 3'
loop_
_atom_site_label
_atom_site_type_symbol
_atom_site_fract_x
_atom_site_fract_y
_atom_site_fract_z
_atom_site_occupancy
Cd1 Cd 0.0000 0.0000 0.5000 1
Tc1 Tc 0.0000 0.0000 0.0000 1
Ge1 Ge 0.5000 0.5000 0.5000 1
```

Formation energy in eV/atom: 1.010


- formation energy of number 5 (CdTcGe3)?
  0.241 eV/atom